No. 1
Density functional theory data (PBE-GGA) for an optimized crystal structure of TbNd2Cd2Sn2.

Output
The calculation puts the raw total energy at -3.75 eV per atom. As for the formation energy: -316 meV per atom.

abc: 9.481 9.481 9.481
angles: 30.57 30.57 30.57
Fractional coordinates of all 7 atoms:
Tb1 0.000 0.000 0.000
Nd1 0.131 0.131 0.131
Nd2 0.869 0.869 0.869
Cd1 0.412 0.412 0.412
Cd2 0.588 0.588 0.588
Sn1 0.270 0.270 0.270
Sn2 0.730 0.730 0.730

---

No. 2
Density functional theory data (PBE-GGA) for an optimized crystal structure of Nd7YHo4.

Output
The calculation puts the raw total energy at -4.59 eV per atom. As for the formation energy: 259 meV per atom. The value obtained for the energy above the lowest structure with this stoichiometry is 0.254 eV/atom.

abc: 6.776 6.776 12.828
angles: 114.93 114.93 52.94
Fractional coordinates of all 12 atoms:
Nd1 0.000 0.000 0.000
Nd2 0.208 0.208 0.920
Nd3 0.238 0.238 0.678
Nd4 0.371 0.371 0.502
Nd5 0.629 0.629 0.498
Nd6 0.762 0.762 0.322
Nd7 0.792 0.792 0.080
Y1 0.500 0.500 0.000
Ho1 0.065 0.065 0.319
Ho2 0.366 0.366 0.224
Ho3 0.634 0.634 0.776
Ho4 0.935 0.935 0.681

---

No. 3
Density functional theory data (PBE-GGA) for an optimized crystal structure of KDyGaO4.

Output
The calculation puts the raw total energy at -6.07 eV per atom. For the uncorrected formation energy, the calculation gives -1.99 eV/atom.

abc: 6.694 6.694 6.694
angles: 127.06 114.81 88.72
Fractional coordinates of all 14 atoms:
K1 0.500 0.000 0.000
K2 0.500 0.500 0.500
Dy1 0.000 0.000 0.000
Dy2 0.500 0.000 0.500
Ga1 0.113 0.363 0.750
Ga2 0.887 0.637 0.250
O1 0.199 0.242 0.957
O2 0.216 0.758 0.457
O3 0.234 0.229 0.495
O4 0.234 0.739 0.005
O5 0.766 0.261 0.995
O6 0.766 0.771 0.505
O7 0.784 0.242 0.543
O8 0.801 0.758 0.043

---

No. 4
Density functional theory data (PBE-GGA) for an optimized crystal structure of Mg2ScAs.

Output
The calculation puts the raw total energy at -3.78 eV per atom. As for the formation energy: -242 meV per atom.

abc: 3.854 3.854 5.676
angles: 90.00 90.00 90.00
Fractional coordinates of all 4 atoms:
Mg1 0.000 0.000 0.242
Mg2 0.000 0.000 0.758
Sc1 0.500 0.500 0.500
As1 0.500 0.500 0.000

---

No. 5
Density functional theory data (PBE-GGA) for an optimized crystal structure of Y3ErBi2.

Output
The calculation puts the raw total energy at -5.91 eV per atom. As for the formation energy: -624 meV per atom. The value obtained for the energy above the lowest structure with this stoichiometry is 0.000 eV/atom.

abc: 4.554 4.554 8.609
angles: 90.00 90.00 90.00
Fractional coordinates of all 6 atoms:
Y1 0.000 0.000 0.000
Y2 0.000 0.500 0.653
Y3 0.500 0.000 0.347
Er1 0.500 0.500 0.000
Bi1 0.000 0.500 0.282
Bi2 0.500 0.000 0.718

---

No. 6
Density functional theory data (PBE-GGA) for an optimized crystal structure of LiCdAg2.

Output
The calculation puts the raw total energy at -2.31 eV per atom. As for the formation energy: -180 meV per atom.

abc: 4.795 5.925 5.025
angles: 90.00 90.00 90.00
Fractional coordinates of all 8 atoms:
Li1 0.250 0.250 0.185
Li2 0.750 0.750 0.815
Cd1 0.250 0.750 0.173
Cd2 0.750 0.250 0.827
Ag1 0.250 0.000 0.676
Ag2 0.250 0.500 0.676
Ag3 0.750 0.000 0.324
Ag4 0.750 0.500 0.324

---

No. 7
Density functional theory data (PBE-GGA) for an optimized crystal structure of BaMg2CdAg4.

Output
The calculation puts the raw total energy at -2.34 eV per atom. As for the formation energy: -158 meV per atom.

abc: 10.339 10.339 10.339
angles: 26.50 26.50 26.50
Fractional coordinates of all 8 atoms:
Ba1 0.000 0.000 0.000
Mg1 0.231 0.231 0.231
Mg2 0.769 0.769 0.769
Cd1 0.500 0.500 0.500
Ag1 0.128 0.128 0.128
Ag2 0.407 0.407 0.407
Ag3 0.593 0.593 0.593
Ag4 0.872 0.872 0.872

---

No. 8
Density functional theory data (PBE-GGA) for an optimized crystal structure of MgScGa2Au2.

Output
The calculation puts the raw total energy at -4.00 eV per atom. As for the formation energy: -579 meV per atom.

abc: 4.480 4.480 6.339
angles: 90.00 90.00 120.00
Fractional coordinates of all 6 atoms:
Mg1 0.000 0.000 0.000
Sc1 0.000 0.000 0.500
Ga1 0.333 0.667 0.740
Ga2 0.667 0.333 0.260
Au1 0.333 0.667 0.254
Au2 0.667 0.333 0.746